1.
! ZrTi4Re, optimized geometry, DFT GGA-PBE; values from VASP
&SYSTEM
  ibrav = 0, nat = 6, ntyp = 3
/
ATOMIC_SPECIES
Zr 91.22 Zr.upf
Ti 47.87 Ti.upf
Re 186.21 Re.upf
ATOMIC_POSITIONS crystal
Zr 0.000 0.500 0.500
Ti 0.350 0.997 0.303
Ti 0.650 0.003 0.697
Ti 0.296 0.552 0.857
Re 0.000 0.000 0.000
Ti 0.704 0.448 0.143
CELL_PARAMETERS angstrom
4.151 0.000 1.809
1.350 4.602 2.569
0.055 -0.029 5.540
! * Fermi-level density of states: 6.3 states/eV per cell
! * E: -8.905 eV/atom
! * ΔE_f: -13.77 kJ per mole of atoms

2.
! K2SrIn, optimized geometry, DFT GGA-PBE; values from VASP
&SYSTEM
  ibrav = 0, nat = 4, ntyp = 3
/
ATOMIC_SPECIES
K 39.10 K.upf
Sr 87.62 Sr.upf
In 114.82 In.upf
ATOMIC_POSITIONS crystal
K 0.982 0.982 0.982
K 0.753 0.753 0.753
Sr 0.518 0.518 0.518
In 0.247 0.247 0.247
CELL_PARAMETERS angstrom
-9.983 -8.731 0.199
-9.039 -8.650 4.406
-11.674 -5.676 2.729
! * Fermi-level density of states: 2.5 states/eV per cell
! * E: -1.652 eV/atom
! * ΔE_f: 0.14 kJ per mole of atoms

3.
! ZrNiAgHg, optimized geometry, DFT GGA-PBE; values from VASP
&SYSTEM
  ibrav = 0, nat = 4, ntyp = 4
/
ATOMIC_SPECIES
Zr 91.22 Zr.upf
Ag 107.87 Ag.upf
Hg 200.59 Hg.upf
Ni 58.69 Ni.upf
ATOMIC_POSITIONS crystal
Zr 0.500 0.500 0.500
Ag 0.250 0.250 0.250
Hg 0.000 0.000 0.000
Ni 0.750 0.750 0.750
CELL_PARAMETERS angstrom
4.648 0.000 0.000
2.324 4.025 0.000
2.324 1.342 3.795
! * Fermi-level density of states: 3.7 states/eV per cell
! * E: -4.419 eV/atom
! * ΔE_f: -4.70 kJ per mole of atoms

4.
! Na4SnO4, optimized geometry, DFT GGA-PBE; values from VASP
&SYSTEM
  ibrav = 0, nat = 18, ntyp = 3
/
ATOMIC_SPECIES
O 16.00 O.upf
Na 22.99 Na.upf
Sn 118.71 Sn.upf
ATOMIC_POSITIONS crystal
O 0.365 0.740 0.250
Na 0.133 0.434 0.250
Na 0.161 0.839 0.500
O 0.795 0.795 0.488
Na 0.161 0.839 0.000
O 0.260 0.635 0.750
O 0.635 0.260 0.750
Na 0.867 0.566 0.750
Na 0.566 0.867 0.750
O 0.795 0.795 0.012
O 0.740 0.365 0.250
Na 0.839 0.161 0.000
Sn 0.334 0.334 0.750
Sn 0.666 0.666 0.250
Na 0.434 0.133 0.250
Na 0.839 0.161 0.500
O 0.205 0.205 0.512
O 0.205 0.205 0.988
CELL_PARAMETERS angstrom
6.342 0.145 0.000
-0.459 6.327 0.000
0.000 0.000 6.961
! * Fermi-level density of states: 0.0 states/eV per cell
! * E: -4.772 eV/atom
! * formation energy (no corrections): -13.8 eV/f.u.
! * polymorph energy (0 for the lowest one): 1.9 kJ per mole of atoms

5.
! CsTi3Re, optimized geometry, DFT GGA-PBE; values from VASP
&SYSTEM
  ibrav = 0, nat = 5, ntyp = 3
/
ATOMIC_SPECIES
Ti 47.87 Ti.upf
Re 186.21 Re.upf
Cs 132.91 Cs.upf
ATOMIC_POSITIONS crystal
Ti 0.500 0.000 0.000
Ti 0.000 0.000 0.500
Re 0.500 0.500 0.500
Ti 0.000 0.500 0.000
Cs 0.000 0.000 0.000
CELL_PARAMETERS angstrom
4.825 0.000 0.000
0.000 4.825 0.000
0.000 0.000 4.825
! * Fermi-level density of states: 7.6 states/eV per cell
! * E: -4.832 eV/atom
! * polymorph energy (0 for the lowest one): 159.6 kJ per mole of atoms
! * ΔE_f: 247.53 kJ per mole of atoms

6.
! SrAcPt10, optimized geometry, DFT GGA-PBE; values from VASP
&SYSTEM
  ibrav = 0, nat = 12, ntyp = 3
/
ATOMIC_SPECIES
Pt 195.08 Pt.upf
Sr 87.62 Sr.upf
Ac 227.00 Ac.upf
ATOMIC_POSITIONS crystal
Pt 0.500 0.000 0.500
Pt 0.500 0.751 0.751
Sr 0.000 0.500 0.500
Pt 0.500 0.500 0.000
Pt 0.500 0.751 0.249
Ac 0.000 0.000 0.000
Pt 0.500 0.249 0.249
Pt 0.500 0.249 0.751
Pt 0.000 0.000 0.665
Pt 0.000 0.500 0.831
Pt 0.000 0.000 0.335
Pt 0.000 0.500 0.169
CELL_PARAMETERS angstrom
4.401 0.000 0.000
0.000 5.533 0.000
0.000 0.000 9.540
! * Fermi-level density of states: 6.5 states/eV per cell
! * E: -6.184 eV/atom
! * ΔE_f: -64.42 kJ per mole of atoms

7.
! SrIn2As, optimized geometry, DFT GGA-PBE; values from VASP
&SYSTEM
  ibrav = 0, nat = 4, ntyp = 3
/
ATOMIC_SPECIES
Sr 87.62 Sr.upf
In 114.82 In.upf
As 74.92 As.upf
ATOMIC_POSITIONS crystal
Sr 0.250 0.250 0.250
In 0.029 0.029 0.029
In 0.471 0.471 0.471
As 0.750 0.750 0.750
CELL_PARAMETERS angstrom
-1.306 6.268 0.058
-3.631 3.831 3.625
1.154 4.824 4.049
! * Fermi-level density of states: 2.4 states/eV per cell
! * E: -3.202 eV/atom
! * ΔE_f: -24.13 kJ per mole of atoms

8.
! Np2In8Ga, optimized geometry, DFT GGA-PBE; values from VASP
&SYSTEM
  ibrav = 0, nat = 11, ntyp = 3
/
ATOMIC_SPECIES
In 114.82 In.upf
Np 237.00 Np.upf
Ga 69.72 Ga.upf
ATOMIC_POSITIONS crystal
In 0.000 0.500 0.868
In 0.500 0.000 0.132
In 0.500 0.000 0.500
Np 0.000 0.000 0.689
In 0.500 0.500 0.686
In 0.500 0.500 0.314
In 0.000 0.500 0.500
Np 0.000 0.000 0.311
In 0.000 0.500 0.132
In 0.500 0.000 0.868
Ga 0.000 0.000 0.000
CELL_PARAMETERS angstrom
-1.680 -4.333 -1.343
4.205 -0.950 -2.196
4.209 -4.769 10.123
! * Fermi-level density of states: 24.3 states/eV per cell
! * E: -4.581 eV/atom
! * ΔE_f: 3.69 kJ per mole of atoms